(1)
First-principles (PBE) data for a relaxed CdHg2S3 crystal, as listed in Alexandria via LeMat-Bulk.

## Properties
- ΔE_f (raw): -298.5 meV/atom
- Space-group type: Cc (9)
- Calculated volume: 26.62 Å³/atom

Unit cell a=7.3142 b=7.3142 c=7.3175 alpha=99.62 beta=99.62 gamma=120.02
Fractional coordinates of all 12 atoms:
Hg 0.7630 0.2607 0.5072
S 0.2172 0.0539 0.8805
S 0.7236 0.5557 0.3840
S 0.8868 0.3844 0.8835
S 0.3844 0.8868 0.3835
Cd 0.0957 0.9295 0.5082
Hg 0.5951 0.4293 0.0077
Hg 0.2607 0.7630 0.0072
Cd 0.9295 0.0957 0.0082
Hg 0.4293 0.5951 0.5077
S 0.5557 0.7236 0.8840
S 0.0539 0.2172 0.3805


(2)
First-principles (PBE) data for a relaxed Cd4HgS5 crystal, as listed in Alexandria via LeMat-Bulk.

## Properties
- ΔE_f (raw): -536.2 meV/atom
- Space-group type: R3m (160)
- Calculated volume: 26.20 Å³/atom

Unit cell a=4.2018 b=4.2018 c=17.3085 alpha=83.03 beta=83.03 gamma=60.00
Fractional coordinates of all 10 atoms:
Hg 0.9502 0.9502 0.1493
S 0.8000 0.8000 0.6000
S 0.0006 0.0006 0.9982
S 0.4003 0.4003 0.7992
S 0.1998 0.1998 0.4007
Cd 0.5495 0.5495 0.3515
Cd 0.1498 0.1498 0.5506
Cd 0.7501 0.7501 0.7498
S 0.5995 0.5995 0.2016
Cd 0.3503 0.3503 0.9492


(3)
First-principles (PBE) data for a relaxed Cd2HgS3 crystal, as listed in Alexandria via LeMat-Bulk.

## Properties
- ΔE_f (raw): -467.5 meV/atom
- Space-group type: Cc (9)
- Calculated volume: 26.32 Å³/atom

Unit cell a=7.2854 b=7.2854 c=7.2903 alpha=99.62 beta=99.62 gamma=120.00
Fractional coordinates of all 12 atoms:
S 0.0545 0.2231 0.3853
Hg 0.0964 0.9276 0.5078
Cd 0.2619 0.7615 0.0078
Hg 0.9276 0.0964 0.0078
S 0.2231 0.0545 0.8853
S 0.5506 0.7177 0.8813
Cd 0.5956 0.4300 0.0078
Cd 0.7615 0.2619 0.5078
S 0.7177 0.5506 0.3813
S 0.8860 0.3901 0.8814
S 0.3901 0.8860 0.3814
Cd 0.4300 0.5956 0.5078


(4)
First-principles (PBE) data for a relaxed CdHg4S5 crystal, as listed in Alexandria via LeMat-Bulk.

## Properties
- ΔE_f (raw): -230.8 meV/atom
- Energy above the lowest structure with this stoichiometry: 0.000 eV/f.u.
- Space-group type: P3m1 (156)
- Calculated volume: 26.78 Å³/atom

Unit cell a=4.2325 b=4.2325 c=34.5248 alpha=90.00 beta=90.00 gamma=120.00
Fractional coordinates of all 20 atoms:
Hg 0.3333 0.6667 0.7000
Hg 0.3333 0.6667 0.4990
S 0.6667 0.3333 0.9259
Hg 0.6667 0.3333 0.5995
S 0.6667 0.3333 0.7251
Hg 0.3333 0.6667 0.9010
S 0.6667 0.3333 0.3231
S 0.3333 0.6667 0.2248
Hg 0.6667 0.3333 0.1998
S 0.6667 0.3333 0.5242
S 0.3333 0.6667 0.4237
S 0.6667 0.3333 0.1244
Cd 0.3333 0.6667 0.2996
Hg 0.6667 0.3333 0.8005
Hg 0.6667 0.3333 0.3984
S 0.3333 0.6667 0.8255
Hg 0.6667 0.3333 0.0014
Cd 0.3333 0.6667 0.1011
S 0.3333 0.6667 0.0262
S 0.3333 0.6667 0.6246


(5)
First-principles (PBE) data for a relaxed CdHg2S crystal, as listed in Alexandria via LeMat-Bulk.

## Properties
- ΔE_f (raw): 18.5 meV/atom
- Space-group type: I-42d (122)
- Calculated volume: 24.84 Å³/atom

Unit cell a=8.5935 b=8.5935 c=6.6457 alpha=49.72 beta=49.72 gamma=90.00
Fractional coordinates of all 8 atoms:
Hg 0.8750 0.8365 0.7500
Cd 0.7500 0.2500 0.5000
Hg 0.1635 0.6250 0.2500
S 0.2500 0.7500 0.5000
Hg 0.3750 0.4135 0.7500
Cd 0.0000 0.0000 0.0000
Hg 0.5865 0.1250 0.2500
S 0.5000 0.5000 0.0000


(6)
First-principles (PBE) data for a relaxed Cd3HgS crystal, as listed in Alexandria via LeMat-Bulk.

## Properties
- ΔE_f (raw): 238.4 meV/atom
- Energy above the lowest structure with this stoichiometry: 0.000 eV/f.u.
- Space-group type: Pm-3m (221)
- Calculated volume: 29.31 Å³/atom

Unit cell a=5.2724 b=5.2724 c=5.2724 alpha=90.00 beta=90.00 gamma=90.00
Fractional coordinates of all 5 atoms:
Cd 0.5000 0.0000 0.0000
Cd 0.0000 0.0000 0.5000
Hg 0.5000 0.5000 0.5000
Cd 0.0000 0.5000 0.0000
S 0.0000 0.0000 0.0000


(7)
First-principles (PBE) data for a relaxed CdHg2S2 crystal, as listed in Alexandria via LeMat-Bulk.

## Properties
- ΔE_f (raw): 14.0 meV/atom
- Space-group type: P4/mbm (127)
- Calculated volume: 25.34 Å³/atom

Unit cell a=7.7767 b=7.7767 c=4.1897 alpha=90.00 beta=90.00 gamma=90.00
Fractional coordinates of all 10 atoms:
Hg 0.3787 0.1213 0.5000
S 0.2664 0.7664 0.0000
Cd 0.0000 0.0000 0.0000
Cd 0.5000 0.5000 0.0000
S 0.7664 0.7336 0.0000
Hg 0.1213 0.6213 0.5000
Hg 0.6213 0.8787 0.5000
S 0.7336 0.2336 0.0000
S 0.2336 0.2664 0.0000
Hg 0.8787 0.3787 0.5000


(8)
First-principles (PBE) data for a relaxed CdHg5S5 crystal, as listed in Alexandria via LeMat-Bulk.

## Properties
- ΔE_f (raw): -41.1 meV/atom
- Space-group type: C2/m (12)
- Calculated volume: 24.31 Å³/atom

Unit cell a=5.6145 b=7.0356 c=7.9090 alpha=109.18 beta=90.00 gamma=113.52
Fractional coordinates of all 11 atoms:
Hg 0.6502 0.3004 0.8249
S 0.8144 0.6289 0.6868
Hg 0.0000 0.0000 0.5000
Hg 0.3498 0.6996 0.1751
S 0.5000 0.0000 0.0000
S 0.8677 0.7355 0.1968
Hg 0.3222 0.6444 0.6759
Cd 0.0000 0.0000 0.0000
S 0.1856 0.3711 0.3132
S 0.1323 0.2645 0.8032
Hg 0.6778 0.3556 0.3241


(9)
First-principles (PBE) data for a relaxed Cd2HgS3 crystal, as listed in Alexandria via LeMat-Bulk.

## Properties
- ΔE_f (raw): -467.2 meV/atom
- Space-group type: Cmc2_1 (36)
- Calculated volume: 26.34 Å³/atom

Unit cell a=6.8653 b=7.2922 c=7.2922 alpha=120.02 beta=90.00 gamma=90.00
Fractional coordinates of all 12 atoms:
S 0.9332 0.1694 0.1694
S 0.4300 0.5028 0.1666
Hg 0.0540 0.8329 0.8329
Cd 0.0554 0.5006 0.1667
S 0.4300 0.1666 0.5028
Hg 0.5540 0.1671 0.1671
S 0.9300 0.4972 0.8334
Cd 0.0554 0.1667 0.5006
Cd 0.5554 0.4994 0.8333
S 0.9300 0.8334 0.4972
S 0.4332 0.8306 0.8306
Cd 0.5554 0.8333 0.4994


(10)
First-principles (PBE) data for a relaxed Cd3HgS4 crystal, as listed in Alexandria via LeMat-Bulk.

## Properties
- ΔE_f (raw): -510.2 meV/atom
- Space-group type: Pmn2_1 (31)
- Calculated volume: 26.27 Å³/atom

Unit cell a=6.8567 b=7.2863 c=8.4121 alpha=90.00 beta=90.00 gamma=90.00
Fractional coordinates of all 16 atoms:
S 0.6274 0.6651 0.7521
Hg 0.5025 0.8327 0.5000
S 0.6274 0.6651 0.2479
S 0.1274 0.3349 0.7479
S 0.1232 0.8338 0.5000
Cd 0.0026 0.6672 0.7500
S 0.1273 0.8310 0.0000
S 0.6273 0.1690 0.5000
S 0.1274 0.3349 0.2521
Cd 0.5026 0.3328 0.7500
Cd 0.0023 0.1668 0.5000
Cd 0.0026 0.6672 0.2500
Hg 0.0025 0.1673 0.0000
Cd 0.5026 0.3328 0.2500
Cd 0.5023 0.8332 0.0000
S 0.6232 0.1662 0.0000


(11)
First-principles (PBE) data for a relaxed CdHg2SbS crystal, as listed in Alexandria via LeMat-Bulk.

## Properties
- ΔE_f (raw): 585.5 meV/atom
- Space-group type: P4/mmm (123)
- Calculated volume: 32.31 Å³/atom

Unit cell a=5.3147 b=5.7202 c=5.3147 alpha=90.00 beta=90.00 gamma=90.00
Fractional coordinates of all 5 atoms:
Hg 0.5000 0.0000 0.0000
S 0.5000 0.5000 0.5000
Hg 0.0000 0.0000 0.5000
Sb 0.0000 0.5000 0.0000
Cd 0.0000 0.0000 0.0000


(12)
First-principles (PBE) data for a relaxed Cd2HgSeS2 crystal, as listed in Alexandria via LeMat-Bulk.

## Properties
- ΔE_f (raw): -474.6 meV/atom
- Space-group type: Cmc2_1 (36)
- Calculated volume: 27.51 Å³/atom

Unit cell a=6.9673 b=7.3963 c=7.3978 alpha=119.99 beta=90.00 gamma=90.00
Fractional coordinates of all 12 atoms:
Cd 0.8131 0.4894 0.6556
S 0.1826 0.4935 0.6604
Hg 0.7965 0.1774 0.0000
Cd 0.3131 0.1662 0.6556
S 0.1826 0.8331 0.3396
Hg 0.2965 0.8226 0.0000
S 0.6826 0.5065 0.3396
Se 0.6854 0.8281 0.0000
Se 0.1854 0.1719 0.0000
S 0.6826 0.1669 0.6604
Cd 0.8131 0.8338 0.3444
Cd 0.3131 0.5106 0.3444